Entry 1:
This record from Alexandria describes a relaxed structure of Pr2ZnGePb. The functional is PBE-GGA.

abc: 7.3906 4.4676 8.9257
angles: 90.00 104.22 90.00
With the nearest neighbours (Å) after each atom.
Sites, in units of the cell vectors:
Pr  0.1935  0.2500  0.4053  2 Ge 3.03, 1 Zn 3.22, 2 Pb 3.36
Pr  0.2469  0.2500  0.9688  3 Ge 2.88-3.06
Pr  0.7531  0.7500  0.0312  3 Ge 2.88-3.06
Pr  0.8065  0.7500  0.5947  2 Ge 3.03, 1 Zn 3.22, 2 Pb 3.36
Zn  0.4759  0.7500  0.2822  1 Ge 2.38
Zn  0.5241  0.2500  0.7178  1 Ge 2.38
Ge  0.1489  0.7500  0.1697  1 Zn 2.38
Ge  0.8511  0.2500  0.8303  1 Zn 2.38
Pb  0.2995  0.7500  0.6947  2 Zn 2.76
Pb  0.7005  0.2500  0.3053  2 Zn 2.76

Energy relative to the elements ... -0.495 eV/atom
DOS(E_F) ... 1.808 states/eV/f.u.
Mass density ... 7.29 g/cm3
Energy ... -4.327 eV per atom
Total magnetic moment ... 0.00 μB per cell

Entry 2:
This record from Alexandria describes a relaxed structure of Ge2PtPb. The functional is PBE-GGA.

abc: 7.5468 7.5468 7.5468
angles: 133.73 133.73 67.51
With the nearest neighbours (Å) after each atom.
Sites, in units of the cell vectors:
Ge  0.0590  0.6250  0.9340  2 Pt 2.42
Ge  0.3750  0.3090  0.4340  2 Pt 2.42
Ge  0.6910  0.1250  0.0660  2 Pt 2.42
Ge  0.8750  0.9410  0.5660  2 Pt 2.42
Pt  0.0000  0.0000  0.0000  4 Ge 2.42
Pt  0.7500  0.2500  0.5000  4 Ge 2.42
Pb  0.2500  0.7500  0.5000  4 Ge 2.86
Pb  0.5000  0.5000  0.0000  4 Ge 2.86

Energy relative to the elements ... 0.051 eV/atom
DOS(E_F) ... 1.971 states/eV/f.u.
Mass density ... 8.24 g/cm3
Energy ... -4.695 eV per atom
Total magnetic moment ... 0.00 μB per cell

Entry 3:
This record from Alexandria describes a relaxed structure of GePtPb3. The functional is PBE-GGA.

abc: 5.4032 5.4032 5.4032
angles: 90.00 90.00 90.00
With the nearest neighbours (Å) after each atom.
Sites, in units of the cell vectors:
Ge  0.0000  0.0000  0.0000  12 Pb 3.82
Pt  0.5000  0.5000  0.5000  6 Pb 2.70
Pb  0.0000  0.5000  0.5000  2 Pt 2.70
Pb  0.5000  0.0000  0.5000  2 Pt 2.70
Pb  0.5000  0.5000  0.0000  2 Pt 2.70

Energy relative to the elements ... 0.330 eV/atom
DOS(E_F) ... 1.533 states/eV/f.u.
Mass density ... 9.36 g/cm3
Energy ... -4.027 eV per atom
Total magnetic moment ... 0.00 μB per cell